VASP calculation (PBE) on a geometry-optimized LaPu2Hg6 structure.

Output
Total energy ... -4.211 eV/atom
ΔE_f ... -0.277 eV per atom
SG ... P6/mmm (191)

a b c (Å): 3.2969 8.8924 8.8924
angles (deg): 120.00 90.00 90.00
Last column: magnetic moment on the atom in μB.
Fractional coordinates of all 9 atoms:
La (0.0000, 0.0000, 0.0000)  0.06
Pu (0.0000, 0.3333, 0.6667)  5.58
Pu (0.0000, 0.6667, 0.3333)  5.58
Hg (0.5000, 0.3353, 0.3353)  0.00
Hg (0.5000, 0.6647, 0.6647)  0.00
Hg (0.5000, 0.0000, 0.6647)  0.00
Hg (0.5000, 0.6647, 0.0000)  0.00
Hg (0.5000, 0.3353, 0.0000)  0.00
Hg (0.5000, 0.0000, 0.3353)  0.00